[1]
Compound: CsRb3Se2
Source: Alexandria via LeMat-Bulk
Functional: PBE-GGA
Structure: relaxed

Structure (POSCAR):
```
CsRb3Se2
1.0
5.378 0.000 0.000
0.000 10.442 0.000
0.000 0.000 8.867
Cs Rb Se
2 6 4
Direct
0.000 0.075 0.000
0.000 0.925 0.500
0.000 0.326 0.619
0.000 0.674 0.119
0.500 0.178 0.328
0.500 0.420 0.951
0.500 0.580 0.451
0.500 0.822 0.828
0.000 0.365 0.230
0.000 0.635 0.730
0.500 0.141 0.719
0.500 0.859 0.219
```

## Properties
The symmetry is No. 26. For the formation energy from raw total energies, the calculation gives -1048.6 meV/atom.



[2]
Compound: CsRbSe2
Source: Alexandria via LeMat-Bulk
Functional: PBE-GGA
Structure: relaxed

Structure (POSCAR):
```
CsRbSe2
1.0
2.436 1.407 11.216
-2.436 1.407 11.216
0.000 -2.813 11.216
Cs Rb Se
1 1 2
Direct
0.000 0.000 0.000
0.500 0.500 0.500
0.404 0.404 0.404
0.596 0.596 0.596
```

## Properties
The calculation puts the energy above the most stable polymorph in this dataset at 653.1 meV per atom. The symmetry is No. 166. For the formation energy from raw total energies, the calculation gives -242.9 meV/atom.



[3]
Compound: CsRbSe2
Source: Alexandria via LeMat-Bulk
Functional: PBE-GGA
Structure: relaxed

Structure (POSCAR):
```
CsRbSe2
1.0
5.448 0.000 0.000
0.000 4.169 5.033
0.000 -4.169 5.033
Cs Rb Se
1 1 2
Direct
0.000 0.000 0.000
0.500 0.485 0.485
0.000 0.176 0.467
0.000 0.467 0.176
```

## Properties
The calculation puts the energy above the most stable polymorph in this dataset at 80.8 meV per atom. The symmetry is No. 38. For the formation energy from raw total energies, the calculation gives -815.3 meV/atom.



[4]
Compound: Cs3Rb2Se
Source: Alexandria via LeMat-Bulk
Functional: PBE-GGA
Structure: relaxed

Structure (POSCAR):
```
Cs3Rb2Se
1.0
6.456 -7.512 0.000
6.456 7.512 0.000
0.000 0.000 9.694
Cs Rb Se
6 4 2
Direct
0.023 0.408 0.750
0.146 0.854 0.750
0.408 0.023 0.250
0.592 0.977 0.750
0.854 0.146 0.250
0.977 0.592 0.250
0.359 0.359 0.000
0.359 0.359 0.500
0.641 0.641 0.000
0.641 0.641 0.500
0.386 0.614 0.750
0.614 0.386 0.250
```

## Properties
The symmetry is No. 63. For the formation energy from raw total energies, the calculation gives -418.0 meV/atom.



[5]
Compound: CsRbSe4
Source: Alexandria via LeMat-Bulk
Functional: PBE-GGA
Structure: relaxed

Structure (POSCAR):
```
CsRbSe4
1.0
-2.404 4.389 5.156
2.404 -4.389 5.156
2.404 4.389 -5.156
Cs Rb Se
1 1 4
Direct
0.000 0.000 0.000
0.500 0.500 0.000
0.124 0.758 0.365
0.393 0.758 0.635
0.607 0.242 0.365
0.876 0.242 0.635
```

## Properties
The symmetry is No. 71. For the formation energy from raw total energies, the calculation gives -629.2 meV/atom.



[6]
Compound: Cs8Rb6Se
Source: Alexandria via LeMat-Bulk
Functional: PBE-GGA
Structure: relaxed

Structure (POSCAR):
```
Cs8Rb6Se
1.0
6.927 3.999 8.569
-6.927 3.999 8.569
0.000 -7.998 8.569
Cs Rb Se
8 6 1
Direct
0.197 0.465 0.606
0.240 0.240 0.240
0.394 0.803 0.535
0.465 0.606 0.197
0.535 0.394 0.803
0.606 0.197 0.465
0.760 0.760 0.760
0.803 0.535 0.394
0.017 0.903 0.316
0.097 0.684 0.983
0.316 0.017 0.903
0.684 0.983 0.097
0.903 0.316 0.017
0.983 0.097 0.684
0.500 0.500 0.500
```

## Properties
The symmetry is No. 148. For the formation energy from raw total energies, the calculation gives -207.2 meV/atom.